# TlAg2SI

A crystal of TlAg2SI relaxed with PBEsol (SCAN, Alexandria via LeMat-Bulk).

The space group is P4/mmm (No. 123) and the conventional cell measures 5.144, 5.144 and 6.278 Å, with angles of 90.00, 90.00 and 90.00 degrees. Symmetry generates all atoms from Tl at (0.000, 0.000, 0.000), Ag at (0.000, 0.500, 0.500), S at (0.500, 0.500, 0.000) and I at (0.000, 0.000, 0.500).

The density is 5.79 g/cm³. As for the crystal system: tetragonal. For the formation energy without anion corrections, the calculation gives 3.04 eV per formula unit.